A plane-wave DFT calculation with PBE-GGA was carried out for a geometry-optimized TlIn2Bi structure.

Geometry as CIF:
```
data_TlIn2Bi
_chemical_formula_sum 'Tl3 In6 Bi3'
_cell_length_a 4.6192
_cell_length_b 4.6192
_cell_length_c 21.8866
_cell_angle_alpha 90.00
_cell_angle_beta 90.00
_cell_angle_gamma 120.00
_space_group_name_H-M_alt 'R 3 m'
_space_group_IT_number 160
_space_group_name_Hall 'R 3 -2"'
loop_
_atom_site_label
_atom_site_type_symbol
_atom_site_fract_x
_atom_site_fract_y
_atom_site_fract_z
_atom_site_occupancy
Tl1 Tl 0.0000 0.0000 0.0000 1
In1 In 0.0000 0.0000 0.4179 1
In2 In 0.0000 0.0000 0.5751 1
Bi1 Bi 0.0000 0.0000 0.8286 1
```

Results
DOS(E_F): 0.6186 states/eV per atom
Energy of formation from the pure elements: 0.06 eV/atom
ΔE to the lowest computed polymorph: 58 meV/atom
Magnetic moment: 0.00 μB/f.u.
Total DFT energy (no corrections): -2.8675 eV/atom